The following is a DFT calculation (PBE) of a relaxed CaMg2Be crystal.

The structure belongs to space group R-3m (No. 166, hexagonal axes); the cell edges are 3.5147, 3.5147 and 27.3906 Å and the angles 90.00°, 90.00° and 120.00°. The asymmetric unit holds Ca at (0.0000, 0.0000, 0.0000), Mg at (0.0000, 0.0000, 0.2280) and Be at (0.0000, 0.0000, 0.5000).

As for the mass density: 1.66 g/cm³. As for the density of states at the Fermi level: 5.4 states/eV per cell. The calculation puts the final energy at -1.84 eV per atom.